#A
{"formula": "SrLiNb2O6F", "functional": "PBE-GGA", "state": "optimized geometry", "crystal_system": "tetragonal", "m_tot_mub_per_fu": 0.000, "spacegroup": "No. 119", "lattice": [[-1.9379, 1.9379, 10.3873], [1.9379, -1.9379, 10.3873], [1.9379, 1.9379, -10.3873]], "species": ["Sr", "Li", "Nb", "Nb", "O", "O", "O", "O", "O", "O", "F"], "fractional_positions": [[0.0000, 0.0000, 0.0000], [0.7500, 0.2500, 0.5000], [0.3812, 0.3812, 0.0000], [0.6188, 0.6188, 0.0000], [0.0926, 0.5926, 0.5000], [0.2945, 0.2945, 0.0000], [0.4074, 0.9074, 0.5000], [0.5944, 0.0944, 0.5000], [0.7055, 0.7055, 0.0000], [0.9056, 0.4056, 0.5000], [0.5000, 0.5000, 0.0000]]}

#B
{"formula": "SrLiNb2O6F", "functional": "PBE-GGA", "state": "optimized geometry", "crystal_system": "monoclinic", "m_tot_mub_per_fu": 0.000, "spacegroup": "No. 7", "lattice": [[10.6664, 0.0000, 0.0000], [0.0000, 5.6084, 0.0000], [-1.4102, 0.0000, 5.4168]], "species": ["Sr", "Sr", "Li", "Li", "Nb", "Nb", "Nb", "Nb", "O", "O", "O", "O", "O", "O", "O", "O", "O", "O", "O", "O", "F", "F"], "fractional_positions": [[0.0000, 0.2376, 0.0000], [0.0000, 0.7624, 0.5000], [0.5117, 0.4897, 0.0249], [0.5117, 0.5103, 0.5249], [0.2340, 0.2757, 0.6013], [0.2340, 0.7243, 0.1013], [0.7901, 0.2566, 0.4127], [0.7901, 0.7434, 0.9127], [0.0442, 0.1960, 0.5610], [0.0442, 0.8040, 0.0610], [0.1951, 0.4392, 0.2953], [0.1951, 0.5608, 0.7953], [0.4081, 0.3312, 0.7215], [0.4081, 0.6688, 0.2215], [0.6201, 0.3206, 0.3319], [0.6201, 0.6794, 0.8319], [0.8160, 0.9997, 0.1770], [0.8160, 0.0003, 0.6770], [0.8486, 0.4957, 0.1883], [0.8486, 0.5043, 0.6883], [0.2496, 0.0593, 0.9489], [0.2496, 0.9407, 0.4489]]}

Stability, lowest: #B